# 1
Compound: Zr6Sb2Pt
Source: Alexandria via LeMat-Bulk
Functional: PBE-GGA
Structure: relaxed

a b c (Å): 7.8814 7.8814 3.7088
angles (deg): 90.00 90.00 120.00
Space group P-62m (No. 189)
Asymmetric unit:
Zr  0.0000  0.2520  0.0000
Zr  0.0000  0.5952  0.5000
Sb  0.3333  0.6667  0.0000
Pt  0.0000  0.0000  0.5000

Values from the calculation:
The value obtained for the energy relative to the elements, uncorrected is -69.9 kJ per mole of atoms. The calculation puts the total energy at -8.011 eV per atom.



# 2
Compound: Rb2SiSbTe4
Source: Alexandria via LeMat-Bulk
Functional: PBE-GGA
Structure: relaxed

a b c (Å): 9.0466 9.5770 13.1847
angles (deg): 90.00 90.00 90.00
Space group Imma (No. 74)
Asymmetric unit:
Rb  0.0000  0.0000  0.0000
Rb  0.2500  0.2500  0.2500
Si  0.2500  0.2500  0.7500
Sb  0.0000  0.0000  0.5000
Te  0.0000  0.0554  0.7388
Te  0.2243  0.2500  0.5282

Values from the calculation:
The value obtained for the energy relative to the elements, uncorrected is -29.3 kJ per mole of atoms. The calculation puts the total energy at -3.310 eV per atom.



# 3
Compound: Sm6Co2AuBr3
Source: Alexandria via LeMat-Bulk
Functional: PBE-GGA
Structure: relaxed

a b c (Å): 19.3609 4.0362 9.0474
angles (deg): 90.00 110.34 90.00
Space group C2/m (No. 12)
Asymmetric unit:
Sm  0.0257  0.0000  0.2498
Sm  0.1633  0.5000  0.1336
Sm  0.1830  0.5000  0.5589
Co  0.1690  0.0000  0.3410
Au  0.0000  0.5000  0.0000
Br  0.0000  0.5000  0.5000
Br  0.1665  0.0000  0.8365

Values from the calculation:
The value obtained for the energy relative to the elements, uncorrected is -78.6 kJ per mole of atoms. The calculation puts the total energy at -5.050 eV per atom.



# 4
Compound: UP4O12
Source: Alexandria via LeMat-Bulk
Functional: PBE-GGA
Structure: relaxed

a b c (Å): 8.4282 8.4924 8.8504
angles (deg): 118.37 118.17 90.49
Space group P-1 (No. 2)
Asymmetric unit:
U  0.2195  0.2193  0.4383
P  0.0341  0.5050  0.7741
P  0.2598  0.7318  0.2259
P  0.2725  0.0260  0.7680
P  0.4958  0.7419  0.7688
O  0.0374  0.3420  0.2497
O  0.0818  0.3741  0.6267
O  0.0979  0.9728  0.7604
O  0.1102  0.6132  0.2229
O  0.2138  0.9091  0.2490
O  0.2200  0.5956  0.0001
O  0.2616  0.1061  0.6462
O  0.3373  0.2125  0.2390
O  0.3490  0.8488  0.6985
O  0.3856  0.5400  0.6478
O  0.4442  0.1726  0.9995
O  0.4542  0.7471  0.3737

Values from the calculation:
The value obtained for the energy relative to the elements, uncorrected is -224.9 kJ per mole of atoms. The calculation puts the total energy at -7.768 eV per atom.



Please write out number 1 again, unchanged.
Compound: Zr6Sb2Pt
Source: Alexandria via LeMat-Bulk
Functional: PBE-GGA
Structure: relaxed

a b c (Å): 7.8814 7.8814 3.7088
angles (deg): 90.00 90.00 120.00
Space group P-62m (No. 189)
Asymmetric unit:
Zr  0.0000  0.2520  0.0000
Zr  0.0000  0.5952  0.5000
Sb  0.3333  0.6667  0.0000
Pt  0.0000  0.0000  0.5000

Values from the calculation:
The value obtained for the energy relative to the elements, uncorrected is -69.9 kJ per mole of atoms. The calculation puts the total energy at -8.011 eV per atom.



Which formula does entry 2 have? Rb2SiSbTe4



The highest energy relative to the elements, uncorrected belongs to which entry? Rb2SiSbTe4



What is the energy relative to the elements, uncorrected in the first record? -69.9 kJ per mole of atoms